Record 1
Below is AlZnRh2 after structural relaxation, with properties calculated at the GGA-PBE level.

a b c (Å): 4.2675 3.0027 8.5111
angles (deg): 90.00 90.00 90.00
With the nearest neighbours (Å) after each atom.
Space group Pmma (No. 51)
Symmetry-distinct sites (fractional):
Al  0.2500  0.0000  0.1265 [2 per cell]  8 Rh 2.54-2.61
Zn  0.2500  0.0000  0.6215 [2 per cell]  8 Rh 2.61-2.67
Rh  0.2500  0.5000  0.3672 [2 per cell]  2 Al 2.54, 6 Zn 2.61-2.63
Rh  0.2500  0.5000  0.8804 [2 per cell]  6 Al 2.58-2.61, 2 Zn 2.67

Output
- uncorrected energy (eV per formula unit) = -22.9
- E_form (eV/atom) = -0.797
- DOS(E_F) (states/eV/atom) = 0.30

Record 2
Below is AlZnRh2 after structural relaxation, with properties calculated at the GGA-PBE level.

a b c (Å): 9.3341 2.8859 4.3659
angles (deg): 90.00 107.17 90.00
With the nearest neighbours (Å) after each atom.
Space group Cm (No. 8)
Symmetry-distinct sites (fractional):
Al  0.0000  0.0000  0.0000 [2 per cell]  7 Rh 2.59-2.64, 2 Al 2.89, 1 Zn 2.90
Zn  0.2637  0.5000  0.3937 [2 per cell]  7 Rh 2.56-2.64
Rh  0.0083  0.5000  0.4998 [2 per cell]  3 Zn 2.56-2.62, 4 Al 2.60-2.64, 2 Rh 2.86
Rh  0.2597  0.0000  0.8963 [2 per cell]  3 Al 2.59, 4 Zn 2.60-2.64, 4 Rh 2.86-2.89

Output
- uncorrected energy (eV per formula unit) = -22.1
- E_form (eV/atom) = -0.596
- DOS(E_F) (states/eV/atom) = 0.82

Record 3
Below is AlZnRh2 after structural relaxation, with properties calculated at the GGA-PBE level.

a b c (Å): 2.8456 4.7206 8.7426
angles (deg): 90.00 90.00 90.00
With the nearest neighbours (Å) after each atom.
Space group Cmm2 (No. 35)
Symmetry-distinct sites (fractional):
Al  0.0000  0.0000  0.0000 [2 per cell]  2 Rh 2.44, 2 Zn 2.72
Zn  0.0000  0.5000  0.7354 [2 per cell]  2 Rh 2.55, 2 Al 2.72, 6 Zn 2.76-2.85
Rh  0.0000  0.0000  0.4935 [2 per cell]  2 Zn 2.55, 8 Rh 2.74-2.85
Rh  0.0000  0.5000  0.2261 [2 per cell]  2 Al 2.44

Output
- uncorrected energy (eV per formula unit) = -20.2
- E_form (eV/atom) = -0.118
- DOS(E_F) (states/eV/atom) = 1.00